Entry 1:
Entry from the Alexandria database: crystalline HfGa3Fe at its relaxed geometry (PBE-GGA).

Calculated values
Energy of formation   -67 kJ/mol of formula units
Total moment   0.0000 μB/atom

a = 4.0526 Å, b = 6.3052 Å, c = 6.4662 Å
α = 90.00°, β = 90.00°, γ = 90.00°
Positions (direct):
Hf 0.2500 0.7500 0.7187
Ga 0.7500 0.4526 0.6869
Fe 0.2500 0.2500 0.5689
Ga 0.7500 0.7500 0.0549
Ga 0.7500 0.0474 0.6869
Hf 0.7500 0.2500 0.2813
Ga 0.2500 0.9526 0.3131
Ga 0.2500 0.5474 0.3131
Ga 0.2500 0.2500 0.9451
Fe 0.7500 0.7500 0.4311



Entry 2:
Entry from the Alexandria database: crystalline Sc6SbC3 at its relaxed geometry (PBE-GGA).

Calculated values
Energy relative to the elements, uncorrected   -0.499 eV/atom
Total moment   0.0004 μB/atom

a = 6.0378 Å, b = 6.0378 Å, c = 6.5281 Å
α = 90.00°, β = 117.55°, γ = 120.00°
Positions (direct):
Sb 0.7878 0.8939 0.6817
C 0.3360 0.6680 0.0040
Sc 0.3634 0.4431 0.7369
C 0.6721 0.3361 0.0082
Sc 0.2939 0.9203 0.7369
Sc 0.4773 0.4063 0.2223
Sc 0.1513 0.7450 0.2223
Sc 0.8167 0.3736 0.7369
Sc 0.8160 0.0710 0.2223
C 0.2855 0.1428 0.4283



Entry 3:
Entry from the Alexandria database: crystalline CaTc2Te at its relaxed geometry (PBE-GGA).

Calculated values
Energy relative to the elements, uncorrected   0.487 eV/atom
Total moment   0.0000 μB/atom

a = 5.6344 Å, b = 5.6344 Å, c = 5.6344 Å
α = 141.69°, β = 135.48°, γ = 60.16°
Positions (direct):
Tc 0.5030 0.5030 0.0000
Ca 0.2500 0.7500 0.5000
Te 0.7500 0.2500 0.5000
Tc 0.9970 0.9970 0.0000



Entry 4:
Entry from the Alexandria database: crystalline AcEuSb2 at its relaxed geometry (PBE-GGA).

Calculated values
Energy relative to the elements, uncorrected   -1.027 eV/atom
Total moment   1.6277 μB/atom

a = 4.7208 Å, b = 4.7208 Å, c = 8.0899 Å
α = 73.04°, β = 73.04°, γ = 60.00°
Each line ends with the local moment (μB).
Positions (direct):
Eu 0.0000 0.0000 0.0000  6.69
Sb 0.2538 0.2538 0.2386  -0.06
Ac 0.5000 0.5000 0.5000  -0.03
Sb 0.7462 0.7462 0.7614  -0.06



The calculation returns the following density of states at the Fermi level values, one per record and in order: 5.804, 6.930, 4.766, 12.052 states/eV/cell.
The calculation returns the following total energy values, one per record and in order: -28.19, -74.77, -23.93, -26.74 eV/f.u..